Density functional theory data (PBE+U) for a relaxed structure of Li7Mn2Co3O12.

Computed properties:
* ΔE to the lowest computed polymorph: 6.0 kJ per mole of atoms
* total energy: -140.03 eV/f.u.

Cell lengths 2.8612, 5.0490, 14.9397 Å; angles 96.42, 95.24, 106.32 degrees
Positions (direct):
Li 0.0000 0.0000 0.0000
Li 0.0009 0.7592 0.2531
Li 0.3260 0.5831 0.0756
Li 0.3391 0.0757 0.5877
Li 0.6640 0.3981 0.9242
Li 0.6739 0.9104 0.4243
Li 0.9965 0.2326 0.7527
Mn 0.3356 0.3323 0.3399
Mn 0.6660 0.1733 0.1640
Co 0.0099 0.4949 0.5068
Co 0.3285 0.8141 0.8381
Co 0.6696 0.6564 0.6705
O 0.0198 0.9129 0.1329
O 0.0213 0.3982 0.6284
O 0.3174 0.4353 0.2137
O 0.3171 0.9129 0.7126
O 0.3230 0.6978 0.9465
O 0.3626 0.2337 0.4652
O 0.6588 0.7521 0.5489
O 0.6713 0.0665 0.2946
O 0.6717 0.2941 0.0538
O 0.6802 0.5609 0.7916
O 0.9696 0.0687 0.8687
O 0.9991 0.5999 0.3844